# KLiH2Ru | Alexandria | PBE | optimized geometry
# Fermi-level density of states (states/eV per cell): 3.3
# VASP energy (eV/atom): -2.231
data_KLiH2Ru
_cell_length_a 4.524
_cell_length_b 4.524
_cell_length_c 5.007
_cell_angle_alpha 90.00
_cell_angle_beta 90.00
_cell_angle_gamma 90.00
_symmetry_space_group_name_H-M 'P 4/m m m'
_symmetry_Int_Tables_number 123
_symmetry_space_group_name_Hall '-P 4 2'
loop_
_atom_site_label
_atom_site_type_symbol
_atom_site_fract_x
_atom_site_fract_y
_atom_site_fract_z
_atom_site_occupancy
K1 K 0.000 0.000 0.000 1
Li1 Li 0.500 0.500 0.500 1
H1 H 0.000 0.500 0.000 1
Ru1 Ru 0.000 0.000 0.500 1